# MgIrF GGA-PBE optimized geometry
# raw total energy = -4.060 eV/atom
# calculated density = 8.39 g cm⁻³
data_MgIrF
_chemical_formula_sum 'Mg2 Ir2 F2'
_space_group_name_H-M_alt 'P 63/m m c'
_space_group_IT_number 194
_space_group_name_Hall '-P 6c 2c'
_cell_length_a 3.9270
_cell_length_b 3.9270
_cell_length_c 6.9823
_cell_angle_alpha 90.00
_cell_angle_beta 90.00
_cell_angle_gamma 120.00
loop_
_atom_site_label
_atom_site_fract_x
_atom_site_fract_y
_atom_site_fract_z
Mg1 0.0000 0.0000 0.0000
Ir1 0.3333 0.6667 0.2500
F1 0.3333 0.6667 0.7500

# Th2Cd3Sn GGA-PBE optimized geometry
# energy relative to the elements = -1.6 eV/f.u.
# calculated density = 9.65 g cm⁻³
data_Th2Cd3Sn
_chemical_formula_sum 'Th16 Cd24 Sn8'
_space_group_name_H-M_alt 'F m m m'
_space_group_IT_number 69
_space_group_name_Hall '-F 2 2'
_cell_length_a 7.284
_cell_length_b 10.030
_cell_length_c 17.341
_cell_angle_alpha 90.00
_cell_angle_beta 90.00
_cell_angle_gamma 90.00
loop_
_atom_site_label
_atom_site_fract_x
_atom_site_fract_y
_atom_site_fract_z
Th1 0.247 0.000 0.000
Th2 0.250 0.250 0.250
Cd1 0.000 0.000 0.336
Cd2 0.000 0.246 0.418
Sn1 0.000 0.000 0.167

# LaHoTm3 GGA-PBE optimized geometry
# energy relative to the elements = 1.4 eV/f.u.
# calculated density = 7.67 g cm⁻³
data_LaHoTm3
_chemical_formula_sum 'La2 Ho2 Tm6'
_space_group_name_H-M_alt 'P 1 21/m 1'
_space_group_IT_number 11
_cell_length_a 3.555
_cell_length_b 11.278
_cell_length_c 8.934
_cell_angle_alpha 90.00
_cell_angle_beta 101.47
_cell_angle_gamma 90.00
loop_
_space_group_symop_operation_xyz
'x,y,z'
'-x,-y,-z'
'-x,y+1/2,-z'
'x,-y+1/2,z'
loop_
_atom_site_label
_atom_site_fract_x
_atom_site_fract_y
_atom_site_fract_z
La1 0.029 0.250 0.058
Ho1 0.294 0.750 0.587
Tm1 0.165 0.000 0.330
Tm2 0.365 0.250 0.729

# LiRe2Pt GGA-PBE optimized geometry
# energy relative to the elements = 0.4 eV/f.u.
# calculated density = 16.60 g cm⁻³
data_LiRe2Pt
_chemical_formula_sum 'Li1 Re2 Pt1'
_space_group_name_H-M_alt 'P 4/m m m'
_space_group_IT_number 123
_space_group_name_Hall '-P 4 2'
_cell_length_a 3.633
_cell_length_b 3.633
_cell_length_c 4.352
_cell_angle_alpha 90.00
_cell_angle_beta 90.00
_cell_angle_gamma 90.00
loop_
_atom_site_label
_atom_site_fract_x
_atom_site_fract_y
_atom_site_fract_z
Li1 0.000 0.000 0.000
Re1 0.000 0.500 0.500
Pt1 0.500 0.500 0.000

# AgSe2S2 GGA-PBE optimized geometry
# raw total energy = -3.536 eV/atom
# calculated density = 5.02 g cm⁻³
data_AgSe2S2
_chemical_formula_sum 'Ag2 Se4 S4'
_space_group_name_H-M_alt 'C 1 2/m 1'
_space_group_IT_number 12
_cell_length_a 12.584
_cell_length_b 3.759
_cell_length_c 4.800
_cell_angle_alpha 90.00
_cell_angle_beta 105.91
_cell_angle_gamma 90.00
loop_
_space_group_symop_operation_xyz
'x,y,z'
'-x,-y,-z'
'-x,y,-z'
'x,-y,z'
'x+1/2,y+1/2,z'
'-x+1/2,-y+1/2,-z'
'-x+1/2,y+1/2,-z'
'x+1/2,-y+1/2,z'
loop_
_atom_site_label
_atom_site_fract_x
_atom_site_fract_y
_atom_site_fract_z
Ag1 0.000 0.000 0.000
Se1 0.200 0.000 0.838
S1 0.064 0.500 0.409

# La2Pr4Ga3O2 GGA-PBE optimized geometry
# raw total energy = -5.653 eV/atom
# calculated density = 6.17 g cm⁻³
data_La2Pr4Ga3O2
_chemical_formula_sum 'La4 Pr8 Ga6 O4'
_space_group_name_H-M_alt 'I 4/m m m'
_space_group_IT_number 139
_space_group_name_Hall '-I 4 2'
_cell_length_a 4.934
_cell_length_b 4.934
_cell_length_c 23.921
_cell_angle_alpha 90.00
_cell_angle_beta 90.00
_cell_angle_gamma 90.00
loop_
_atom_site_label
_atom_site_fract_x
_atom_site_fract_y
_atom_site_fract_z
La1 0.000 0.000 0.202
Pr1 0.000 0.500 0.082
Ga1 0.000 0.000 0.333
Ga2 0.000 0.000 0.500
O1 0.000 0.000 0.105

# Ta3OsI GGA-PBE optimized geometry
# raw total energy = -8.379 eV/atom
# calculated density = 11.89 g cm⁻³
data_Ta3OsI
_chemical_formula_sum 'Ta3 Os1 I1'
_space_group_name_H-M_alt 'P m -3 m'
_space_group_IT_number 221
_space_group_name_Hall '-P 4 2 3'
_cell_length_a 4.934
_cell_length_b 4.934
_cell_length_c 4.934
_cell_angle_alpha 90.00
_cell_angle_beta 90.00
_cell_angle_gamma 90.00
loop_
_atom_site_label
_atom_site_fract_x
_atom_site_fract_y
_atom_site_fract_z
Ta1 0.000 0.000 0.500
Os1 0.000 0.000 0.000
I1 0.500 0.500 0.500

# LiSi2Au GGA-PBE optimized geometry
# raw total energy = -4.026 eV/atom
# calculated density = 7.12 g cm⁻³
data_LiSi2Au
_chemical_formula_sum 'Li2 Si4 Au2'
_space_group_name_H-M_alt 'I -4 m 2'
_space_group_IT_number 119
_space_group_name_Hall 'I -4 -2'
_cell_length_a 3.925
_cell_length_b 3.925
_cell_length_c 7.878
_cell_angle_alpha 90.00
_cell_angle_beta 90.00
_cell_angle_gamma 90.00
loop_
_atom_site_label
_atom_site_fract_x
_atom_site_fract_y
_atom_site_fract_z
Li1 0.000 0.000 0.000
Si1 0.000 0.000 0.500
Si2 0.000 0.500 0.750
Au1 0.000 0.500 0.250

# RbMg GGA-PBE optimized geometry
# energy relative to the elements = 0.5 eV/f.u.
# calculated density = 1.63 g cm⁻³
data_RbMg
_chemical_formula_sum 'Rb2 Mg2'
_space_group_name_H-M_alt 'P 63/m m c'
_space_group_IT_number 194
_space_group_name_Hall '-P 6c 2c'
_cell_length_a 6.6602
_cell_length_b 6.6602
_cell_length_c 5.8315
_cell_angle_alpha 90.00
_cell_angle_beta 90.00
_cell_angle_gamma 120.00
loop_
_atom_site_label
_atom_site_fract_x
_atom_site_fract_y
_atom_site_fract_z
Rb1 0.3333 0.6667 0.2500
Mg1 0.0000 0.0000 0.0000

# RbSiAsCl GGA-PBE optimized geometry
# raw total energy = -3.671 eV/atom
# calculated density = 2.60 g cm⁻³
data_RbSiAsCl
_chemical_formula_sum 'Rb2 Si2 As2 Cl2'
_space_group_name_H-M_alt 'I m m 2'
_space_group_IT_number 44
_cell_length_a 4.485
_cell_length_b 5.212
_cell_length_c 12.242
_cell_angle_alpha 90.00
_cell_angle_beta 90.00
_cell_angle_gamma 90.00
loop_
_space_group_symop_operation_xyz
'x,y,z'
'-x,-y,z'
'-x,y,z'
'x,-y,z'
'x+1/2,y+1/2,z+1/2'
'-x+1/2,-y+1/2,z+1/2'
'-x+1/2,y+1/2,z+1/2'
'x+1/2,-y+1/2,z+1/2'
loop_
_atom_site_label
_atom_site_fract_x
_atom_site_fract_y
_atom_site_fract_z
Rb1 0.000 0.000 0.000
Si1 0.000 0.000 0.682
As1 0.000 0.500 0.244
Cl1 0.000 0.000 0.499

# LaMoCl GGA-PBE optimized geometry
# raw total energy = -5.702 eV/atom
# calculated density = 7.02 g cm⁻³
data_LaMoCl
_chemical_formula_sum 'La1 Mo1 Cl1'
_space_group_name_H-M_alt 'P 3 m 1'
_space_group_IT_number 156
_cell_length_a 3.1658
_cell_length_b 3.1658
_cell_length_c 7.3677
_cell_angle_alpha 90.00
_cell_angle_beta 90.00
_cell_angle_gamma 120.00
loop_
_space_group_symop_operation_xyz
'x,y,z'
'-y,x-y,z'
'-x+y,-x,z'
'-y,-x,z'
'-x+y,y,z'
'x,x-y,z'
loop_
_atom_site_label
_atom_site_fract_x
_atom_site_fract_y
_atom_site_fract_z
La1 0.0000 0.0000 0.0000
Mo1 0.3333 0.6667 0.3787
Cl1 0.6667 0.3333 0.6193

# DyEr5Sb6 GGA-PBE optimized geometry
# raw total energy = -5.446 eV/atom
# calculated density = 8.18 g cm⁻³
data_DyEr5Sb6
_chemical_formula_sum 'Dy2 Er10 Sb12'
_space_group_name_H-M_alt 'C 1 2/m 1'
_space_group_IT_number 12
_cell_length_a 7.549
_cell_length_b 13.073
_cell_length_c 7.546
_cell_angle_alpha 90.00
_cell_angle_beta 109.47
_cell_angle_gamma 90.00
loop_
_space_group_symop_operation_xyz
'x,y,z'
'-x,-y,-z'
'-x,y,-z'
'x,-y,z'
'x+1/2,y+1/2,z'
'-x+1/2,-y+1/2,-z'
'-x+1/2,y+1/2,-z'
'x+1/2,-y+1/2,z'
loop_
_atom_site_label
_atom_site_fract_x
_atom_site_fract_y
_atom_site_fract_z
Dy1 0.000 0.000 0.000
Er1 0.000 0.166 0.500
Er2 0.000 0.333 0.000
Er3 0.000 0.500 0.500
Sb1 0.249 0.333 0.749
Sb2 0.249 0.500 0.250